1.
Density functional theory data (meta-GGA SCAN) for a crystal of CaZn2Pt2 relaxed with PBEsol.

Computed properties:
Space-group type: I4/mmm, No. 139
E_tot, eV/atom: -36.138
N(E_F), states/eV per atom: 0.33
Energy above the lowest structure with this stoichiometry, meV/atom: 0

Cell: 4.118 4.118 5.986 Å, 110.12 110.12 90.00°
Sites, in units of the cell vectors:
Ca1 0.000 0.000 0.000
Zn1 0.614 0.614 0.229
Pt1 0.750 0.250 0.500
Zn2 0.386 0.386 0.771
Pt2 0.250 0.750 0.500


2.
Density functional theory data (meta-GGA SCAN) for a crystal of CaZrPt2 relaxed with PBEsol.

Computed properties:
Space-group type: Cm, No. 8
E_tot, eV/atom: -46.097
N(E_F), states/eV per atom: 0.61

Cell: 2.908 5.016 5.411 Å, 100.65 105.58 90.00°
Sites, in units of the cell vectors:
Pt1 0.981 0.050 0.961
Pt2 0.267 0.697 0.533
Ca1 0.731 0.184 0.461
Zr1 0.522 0.569 0.044


3.
Density functional theory data (meta-GGA SCAN) for a crystal of CaZrPt2 relaxed with PBEsol.

Computed properties:
Space-group type: P4/mmm, No. 123
E_tot, eV/atom: -46.368
N(E_F), states/eV per atom: 0.52

Cell: 3.345 3.345 7.076 Å, 90.00 90.00 90.00°
Sites, in units of the cell vectors:
Pt1 0.000 0.000 0.792
Ca1 0.500 0.500 0.500
Pt2 0.000 0.000 0.208
Zr1 0.500 0.500 0.000


What are the magnetic moment values for these records? In order: 0.00; 0.00; 0.00 μB per cell.
What are the ΔH_f (0 K) values for these records? In order: -0.722; -0.910; -1.181 eV per atom.